Entry 1:
{
  "formula": "LiLaGe2Pt5",
  "functional": "GGA-PBE",
  "state": "optimized geometry",
  "cell": [[4.2103, 0.0000, 0.0000], [0.0000, 4.2103, 0.0000], [0.0000, 0.0000, 9.4351]],
  "species": ["Pt", "Pt", "Pt", "Pt", "Pt", "Ge", "Ge", "Li", "La"],
  "frac_coords": [[0.0000, 0.5000, 0.2667], [0.0000, 0.5000, 0.7333], [0.5000, 0.0000, 0.2667], [0.5000, 0.5000, 0.5000], [0.5000, 0.0000, 0.7333], [0.5000, 0.5000, 0.1299], [0.5000, 0.5000, 0.8701], [0.0000, 0.0000, 0.0000], [0.0000, 0.0000, 0.5000]],
  "space_group": "P4/mmm (123)",
  "magnetic_moment_mub_per_cell": 0.000,
  "n_ef_per_ev_fu": 3.53,
  "ef_mev_per_atom": -685
}

Entry 2:
{
  "formula": "LiLaGePt",
  "functional": "GGA-PBE",
  "state": "optimized geometry",
  "cell": [[-4.4956, 1.5506, 0.6319], [-3.5184, -3.1394, 0.8825], [-2.0125, -0.1868, 4.3507]],
  "species": ["Pt", "La", "Li", "Ge"],
  "frac_coords": [[0.7500, 0.7500, 0.7500], [0.5000, 0.5000, 0.5000], [0.2500, 0.2500, 0.2500], [0.0000, 0.0000, 0.0000]],
  "space_group": "F-43m (216)",
  "magnetic_moment_mub_per_cell": 0.000,
  "n_ef_per_ev_fu": 0.03,
  "ef_mev_per_atom": -738
}

Entry 3:
{
  "formula": "Li2LaPuGe2",
  "functional": "GGA-PBE",
  "state": "optimized geometry",
  "cell": [[4.5552, 0.0000, 0.0000], [-2.2776, 3.9449, 0.0000], [0.0000, 0.0000, 7.2836]],
  "species": ["Li", "Li", "Ge", "Ge", "La", "Pu"],
  "frac_coords": [[0.3333, 0.6667, 0.7938], [0.6667, 0.3333, 0.2062], [0.6667, 0.3333, 0.7754], [0.3333, 0.6667, 0.2246], [0.0000, 0.0000, 0.5000], [0.0000, 0.0000, 0.0000]],
  "space_group": "P-3m1 (164)",
  "magnetic_moment_mub_per_cell": 5.086,
  "n_ef_per_ev_fu": 13.77,
  "ef_mev_per_atom": -487
}

Entry 4:
{
  "formula": "LiLa2Ge4Rh3",
  "functional": "GGA-PBE",
  "state": "optimized geometry",
  "cell": [[4.4012, 0.0000, 0.0000], [0.0000, 4.4012, 0.0000], [0.0000, 0.0000, 9.8633]],
  "species": ["Ge", "Ge", "Ge", "Ge", "Rh", "Rh", "Rh", "Li", "La", "La"],
  "frac_coords": [[0.5000, 0.0000, 0.6271], [0.0000, 0.0000, 0.0000], [0.5000, 0.5000, 0.0000], [0.0000, 0.5000, 0.3729], [0.0000, 0.5000, 0.1237], [0.0000, 0.0000, 0.5000], [0.5000, 0.0000, 0.8763], [0.5000, 0.5000, 0.5000], [0.5000, 0.0000, 0.2479], [0.0000, 0.5000, 0.7521]],
  "space_group": "P-4m2 (115)",
  "magnetic_moment_mub_per_cell": 0.000,
  "n_ef_per_ev_fu": 6.29,
  "ef_mev_per_atom": -804
}

Entry 5:
{
  "formula": "LiLaGe2Rh",
  "functional": "GGA-PBE",
  "state": "optimized geometry",
  "cell": [[4.2854, 0.0000, 0.0000], [0.0000, 4.2854, 0.0000], [-2.1427, -2.1427, 5.2108]],
  "species": ["Li", "Rh", "La", "Ge", "Ge"],
  "frac_coords": [[0.2500, 0.7500, 0.5000], [0.7500, 0.2500, 0.5000], [0.0000, 0.0000, 0.0000], [0.6235, 0.6235, 0.2471], [0.3765, 0.3765, 0.7529]],
  "space_group": "I-4m2 (119)",
  "magnetic_moment_mub_per_cell": 0.000,
  "n_ef_per_ev_fu": 3.64,
  "ef_mev_per_atom": -732
}

Entry 6:
{
  "formula": "LiLa2GeS5",
  "functional": "GGA-PBE",
  "state": "optimized geometry",
  "cell": [[4.1511, 0.0000, 0.0000], [-2.0755, 8.4194, 0.0000], [0.0000, 0.0000, 11.3189]],
  "species": ["La", "La", "La", "La", "S", "S", "S", "S", "S", "S", "S", "S", "S", "S", "Ge", "Ge", "Li", "Li"],
  "frac_coords": [[0.8667, 0.7334, 0.8061], [0.1333, 0.2666, 0.3061], [0.8771, 0.7542, 0.1838], [0.1229, 0.2458, 0.6838], [0.6847, 0.3693, 0.8569], [0.5000, 0.0000, 0.2776], [0.5000, 0.0000, 0.7776], [0.6415, 0.2830, 0.5017], [0.3585, 0.7170, 0.0017], [0.7057, 0.4115, 0.1689], [0.9544, 0.9088, 0.5506], [0.2943, 0.5885, 0.6689], [0.0456, 0.0912, 0.0506], [0.3153, 0.6307, 0.3569], [0.4355, 0.8710, 0.4597], [0.5645, 0.1290, 0.9597], [0.2141, 0.4282, 0.0188], [0.7859, 0.5718, 0.5188]],
  "raw_formation_energy_ev_per_fu": -13.60,
  "space_group": "Cmc2_1 (36)",
  "magnetic_moment_mub_per_cell": 0.000,
  "n_ef_per_ev_fu": 1.36
}

Entry 7:
{
  "formula": "LiLaSmGe",
  "functional": "GGA-PBE",
  "state": "optimized geometry",
  "cell": [[5.2294, 0.0000, 0.0000], [2.6147, 4.5288, 0.0000], [2.6147, 1.5096, 4.2698]],
  "species": ["Ge", "Li", "Sm", "La"],
  "frac_coords": [[0.2500, 0.2500, 0.2500], [0.7500, 0.7500, 0.7500], [0.0000, 0.0000, 0.0000], [0.5000, 0.5000, 0.5000]],
  "space_group": "F-43m (216)",
  "magnetic_moment_mub_per_cell": 0.000,
  "n_ef_per_ev_fu": 2.94,
  "ef_mev_per_atom": -418
}

Entry 8:
{
  "formula": "Li2LaSm2Ge2",
  "functional": "GGA-PBE",
  "state": "optimized geometry",
  "cell": [[-2.1914, 4.0164, -0.1941], [-3.2511, 0.9853, 3.0711], [4.5692, 5.4185, 6.5130]],
  "species": ["Li", "Li", "Ge", "Ge", "La", "Sm", "Sm"],
  "frac_coords": [[0.5937, 0.5937, 0.2188], [0.4063, 0.4063, 0.7812], [0.7398, 0.7398, 0.7806], [0.2602, 0.2602, 0.2194], [0.0000, 0.0000, 0.0000], [0.1285, 0.1285, 0.6144], [0.8715, 0.8715, 0.3856]],
  "space_group": "R-3m (166)",
  "magnetic_moment_mub_per_cell": 0.000,
  "n_ef_per_ev_fu": 4.13,
  "ef_mev_per_atom": -498
}

Entry 9:
{
  "formula": "Li2LaSmGe2",
  "functional": "GGA-PBE",
  "state": "optimized geometry",
  "cell": [[-2.7264, 2.6090, 2.4789], [1.4383, -3.9557, 1.6336], [6.0792, 3.4654, 3.0388]],
  "species": ["Ge", "Ge", "Li", "Li", "Sm", "La"],
  "frac_coords": [[0.6667, 0.3333, 0.7387], [0.3333, 0.6667, 0.2613], [0.6667, 0.3333, 0.2780], [0.3333, 0.6667, 0.7220], [0.0000, 0.0000, 0.5000], [0.0000, 0.0000, 0.0000]],
  "space_group": "P-3m1 (164)",
  "magnetic_moment_mub_per_cell": 0.000,
  "n_ef_per_ev_fu": 1.00,
  "ef_mev_per_atom": -676
}

Entry 10:
{
  "formula": "Li2La2SmGe2",
  "functional": "GGA-PBE",
  "state": "optimized geometry",
  "cell": [[4.5495, 0.0000, 0.0000], [2.2748, 3.9400, 0.0000], [2.2748, 1.3133, 9.2021]],
  "species": ["Li", "Li", "Sm", "Ge", "Ge", "La", "La"],
  "frac_coords": [[0.6019, 0.6019, 0.1943], [0.3981, 0.3981, 0.8057], [0.0000, 0.0000, 0.0000], [0.2669, 0.2669, 0.1992], [0.7331, 0.7331, 0.8008], [0.8685, 0.8685, 0.3946], [0.1315, 0.1315, 0.6054]],
  "space_group": "R-3m (166)",
  "magnetic_moment_mub_per_cell": 0.000,
  "n_ef_per_ev_fu": 4.03,
  "ef_mev_per_atom": -504
}

Entry 11:
{
  "formula": "Sr2Li2LaGe2",
  "functional": "GGA-PBE",
  "state": "optimized geometry",
  "cell": [[4.6183, 0.0000, 0.0000], [2.3092, 3.9996, 0.0000], [2.3092, 1.3332, 11.3382]],
  "species": ["Sr", "Sr", "Li", "Li", "Ge", "Ge", "La"],
  "frac_coords": [[0.8867, 0.8867, 0.3398], [0.1133, 0.1133, 0.6602], [0.6150, 0.6150, 0.1550], [0.3850, 0.3850, 0.8450], [0.7206, 0.7206, 0.8381], [0.2794, 0.2794, 0.1619], [0.0000, 0.0000, 0.0000]],
  "space_group": "R-3m (166)",
  "magnetic_moment_mub_per_cell": 0.733,
  "n_ef_per_ev_fu": 2.72,
  "ef_mev_per_atom": -506
}

Entry 12:
{
  "formula": "SrLi2LaGe2",
  "functional": "GGA-PBE",
  "state": "optimized geometry",
  "cell": [[4.6748, 0.0000, 0.0000], [-2.3374, 4.0485, 0.0000], [0.0000, 0.0000, 7.8214]],
  "species": ["Ge", "Ge", "La", "Li", "Li", "Sr"],
  "frac_coords": [[0.3333, 0.6667, 0.2172], [0.6667, 0.3333, 0.7828], [0.0000, 0.0000, 0.0000], [0.6667, 0.3333, 0.2210], [0.3333, 0.6667, 0.7790], [0.0000, 0.0000, 0.5000]],
  "space_group": "P-3m1 (164)",
  "magnetic_moment_mub_per_cell": 0.000,
  "n_ef_per_ev_fu": 2.94,
  "ef_mev_per_atom": -571
}

Entry 13:
{
  "formula": "SrLi2La2Ge2",
  "functional": "GGA-PBE",
  "state": "optimized geometry",
  "cell": [[-2.6149, 2.7429, 2.7526], [-4.5678, -0.8892, 0.5317], [-0.4363, -4.9882, 8.5411]],
  "species": ["Ge", "Ge", "Li", "Li", "La", "La", "Sr"],
  "frac_coords": [[0.7449, 0.7449, 0.7652], [0.2551, 0.2551, 0.2348], [0.4097, 0.4097, 0.7708], [0.5903, 0.5903, 0.2292], [0.1335, 0.1335, 0.5995], [0.8665, 0.8665, 0.4005], [0.0000, 0.0000, 0.0000]],
  "space_group": "R-3m (166)",
  "magnetic_moment_mub_per_cell": 0.000,
  "n_ef_per_ev_fu": 2.97,
  "ef_mev_per_atom": -495
}

Entry 14:
{
  "formula": "Li2La2TbGe2",
  "functional": "GGA-PBE",
  "state": "optimized geometry",
  "cell": [[4.4898, 0.0000, 0.0000], [2.2449, 3.8883, 0.0000], [2.2449, 1.2961, 9.6746]],
  "species": ["La", "La", "Ge", "Ge", "Li", "Li", "Tb"],
  "frac_coords": [[0.8759, 0.8759, 0.3724], [0.1241, 0.1241, 0.6276], [0.2726, 0.2726, 0.1822], [0.7274, 0.7274, 0.8178], [0.6126, 0.6126, 0.1622], [0.3874, 0.3874, 0.8378], [0.0000, 0.0000, 0.0000]],
  "space_group": "R-3m (166)",
  "magnetic_moment_mub_per_cell": 0.000,
  "n_ef_per_ev_fu": 4.25,
  "ef_mev_per_atom": -505
}

Entry 15:
{
  "formula": "Li2LaTb2Ge2",
  "functional": "GGA-PBE",
  "state": "optimized geometry",
  "cell": [[4.5559, 0.0000, 0.0000], [2.2779, 3.9455, 0.0000], [2.2779, 1.3152, 9.1083]],
  "species": ["Ge", "Ge", "Tb", "Tb", "La", "Li", "Li"],
  "frac_coords": [[0.7421, 0.7421, 0.7738], [0.2579, 0.2579, 0.2262], [0.1290, 0.1290, 0.6129], [0.8710, 0.8710, 0.3871], [0.0000, 0.0000, 0.0000], [0.4090, 0.4090, 0.7731], [0.5910, 0.5910, 0.2269]],
  "space_group": "R-3m (166)",
  "magnetic_moment_mub_per_cell": 0.000,
  "n_ef_per_ev_fu": 3.75,
  "ef_mev_per_atom": -502
}

Entry 16:
{
  "formula": "LiLaThGe",
  "functional": "GGA-PBE",
  "state": "optimized geometry",
  "cell": [[-4.1774, -0.8722, -3.0420], [-4.7023, -0.7981, 2.1718], [-3.7374, 3.6488, -0.4282]],
  "species": ["Th", "La", "Li", "Ge"],
  "frac_coords": [[0.5000, 0.5000, 0.5000], [0.0000, 0.0000, 0.0000], [0.7500, 0.7500, 0.7500], [0.2500, 0.2500, 0.2500]],
  "space_group": "F-43m (216)",
  "magnetic_moment_mub_per_cell": 0.000,
  "n_ef_per_ev_fu": 2.51,
  "ef_mev_per_atom": -267
}

Entry 17:
{
  "formula": "LiLaTlGe",
  "functional": "GGA-PBE",
  "state": "optimized geometry",
  "cell": [[5.2006, 0.0000, 0.0000], [2.6003, 4.5039, 0.0000], [2.6003, 1.5013, 4.2463]],
  "species": ["Li", "Tl", "La", "Ge"],
  "frac_coords": [[0.5000, 0.5000, 0.5000], [0.2500, 0.2500, 0.2500], [0.0000, 0.0000, 0.0000], [0.7500, 0.7500, 0.7500]],
  "space_group": "F-43m (216)",
  "magnetic_moment_mub_per_cell": 0.000,
  "n_ef_per_ev_fu": 2.60,
  "ef_mev_per_atom": -380
}

Entry 18:
{
  "formula": "LiLaTmGe",
  "functional": "GGA-PBE",
  "state": "optimized geometry",
  "cell": [[5.1459, 0.0000, 0.0000], [2.5730, 4.4565, 0.0000], [2.5730, 1.4855, 4.2016]],
  "species": ["Tm", "La", "Ge", "Li"],
  "frac_coords": [[0.0000, 0.0000, 0.0000], [0.5000, 0.5000, 0.5000], [0.2500, 0.2500, 0.2500], [0.7500, 0.7500, 0.7500]],
  "space_group": "F-43m (216)",
  "magnetic_moment_mub_per_cell": 0.000,
  "n_ef_per_ev_fu": 2.69,
  "ef_mev_per_atom": -394
}

Entry 19:
{
  "formula": "Li2LaTmGe2",
  "functional": "GGA-PBE",
  "state": "optimized geometry",
  "cell": [[4.4678, 0.0000, 0.0000], [-2.2339, 3.8692, 0.0000], [0.0000, 0.0000, 7.4311]],
  "species": ["Li", "Li", "La", "Ge", "Ge", "Tm"],
  "frac_coords": [[0.6667, 0.3333, 0.3002], [0.3333, 0.6667, 0.6998], [0.0000, 0.0000, 0.0000], [0.6667, 0.3333, 0.7292], [0.3333, 0.6667, 0.2708], [0.0000, 0.0000, 0.5000]],
  "space_group": "P-3m1 (164)",
  "magnetic_moment_mub_per_cell": 0.000,
  "n_ef_per_ev_fu": 1.21,
  "ef_mev_per_atom": -680
}

Entry 20:
{
  "formula": "Li2La2YGe2",
  "functional": "GGA-PBE",
  "state": "optimized geometry",
  "cell": [[-0.0121, 2.5661, 3.6695], [-3.7581, 2.0802, 1.2649], [-3.7147, -6.1687, 7.0336]],
  "species": ["La", "La", "Ge", "Ge", "Y", "Li", "Li"],
  "frac_coords": [[0.1238, 0.1238, 0.6285], [0.8762, 0.8762, 0.3715], [0.7272, 0.7272, 0.8185], [0.2728, 0.2728, 0.1815], [0.0000, 0.0000, 0.0000], [0.6130, 0.6130, 0.1611], [0.3870, 0.3870, 0.8389]],
  "space_group": "R-3m (166)",
  "magnetic_moment_mub_per_cell": 0.000,
  "n_ef_per_ev_fu": 4.23,
  "ef_mev_per_atom": -512
}

Entry 21:
{
  "formula": "Li2LaYGe2",
  "functional": "GGA-PBE",
  "state": "optimized geometry",
  "cell": [[-2.7221, -3.5641, -0.1412], [2.9668, 0.4261, 3.3390], [-5.1044, 3.7377, 4.0584]],
  "species": ["La", "Ge", "Ge", "Li", "Li", "Y"],
  "frac_coords": [[0.0000, 0.0000, 0.0000], [0.6667, 0.3333, 0.7339], [0.3333, 0.6667, 0.2661], [0.6667, 0.3333, 0.2911], [0.3333, 0.6667, 0.7089], [0.0000, 0.0000, 0.5000]],
  "space_group": "P-3m1 (164)",
  "magnetic_moment_mub_per_cell": 0.000,
  "n_ef_per_ev_fu": 1.02,
  "ef_mev_per_atom": -695
}

Entry 22:
{
  "formula": "LiLaZnGe2",
  "functional": "GGA-PBE",
  "state": "optimized geometry",
  "cell": [[4.2851, 0.0000, 0.0000], [0.0000, 4.2851, 0.0000], [-2.1425, -2.1425, 5.4378]],
  "species": ["Ge", "Ge", "Li", "La", "Zn"],
  "frac_coords": [[0.6160, 0.6160, 0.2320], [0.3840, 0.3840, 0.7680], [0.7500, 0.2500, 0.5000], [0.0000, 0.0000, 0.0000], [0.2500, 0.7500, 0.5000]],
  "space_group": "I-4m2 (119)",
  "magnetic_moment_mub_per_cell": 0.000,
  "n_ef_per_ev_fu": 2.38,
  "ef_mev_per_atom": -587
}

Entry 23:
{
  "formula": "LiLa2Zn4Ge3",
  "functional": "GGA-PBE",
  "state": "optimized geometry",
  "cell": [[-3.6761, -1.9691, -0.9609], [2.1383, -2.8147, -2.4123], [1.2047, -6.4333, 8.5742]],
  "species": ["Zn", "Zn", "Zn", "Zn", "La", "La", "Ge", "Ge", "Ge", "Li"],
  "frac_coords": [[0.0000, 0.5000, 0.3724], [0.5000, 0.5000, 0.0000], [0.5000, 0.0000, 0.6276], [0.0000, 0.0000, 0.0000], [0.5000, 0.0000, 0.2452], [0.0000, 0.5000, 0.7548], [0.0000, 0.0000, 0.5000], [0.0000, 0.5000, 0.1398], [0.5000, 0.0000, 0.8602], [0.5000, 0.5000, 0.5000]],
  "space_group": "P-4m2 (115)",
  "magnetic_moment_mub_per_cell": 0.000,
  "n_ef_per_ev_fu": 3.23,
  "ef_mev_per_atom": -480
}

Entry 24:
{
  "formula": "LiLa2Zn3Ge4",
  "functional": "GGA-PBE",
  "state": "optimized geometry",
  "cell": [[-4.0137, -0.1850, 1.8068], [1.6376, -2.2637, 3.4062], [1.8553, 8.9169, 5.0342]],
  "species": ["Zn", "Zn", "Zn", "Li", "Ge", "Ge", "Ge", "Ge", "La", "La"],
  "frac_coords": [[0.5000, 0.0000, 0.8711], [0.0000, 0.5000, 0.1289], [0.0000, 0.0000, 0.5000], [0.5000, 0.5000, 0.5000], [0.5000, 0.5000, 0.0000], [0.0000, 0.5000, 0.3637], [0.5000, 0.0000, 0.6363], [0.0000, 0.0000, 0.0000], [0.0000, 0.5000, 0.7547], [0.5000, 0.0000, 0.2453]],
  "space_group": "P-4m2 (115)",
  "magnetic_moment_mub_per_cell": 0.000,
  "n_ef_per_ev_fu": 2.56,
  "ef_mev_per_atom": -526
}

Entry 25:
{
  "formula": "LiLaZnGe",
  "functional": "GGA-PBE",
  "state": "optimized geometry",
  "cell": [[5.0003, 0.0000, 0.0000], [2.5001, 4.3304, 0.0000], [2.5001, 1.4435, 4.0827]],
  "species": ["La", "Ge", "Li", "Zn"],
  "frac_coords": [[0.2500, 0.2500, 0.2500], [0.0000, 0.0000, 0.0000], [0.7500, 0.7500, 0.7500], [0.5000, 0.5000, 0.5000]],
  "space_group": "F-43m (216)",
  "magnetic_moment_mub_per_cell": 0.000,
  "n_ef_per_ev_fu": 2.39,
  "ef_mev_per_atom": -437
}

Entry 26:
{
  "formula": "Li3La2ZnGe4",
  "functional": "GGA-PBE",
  "state": "optimized geometry",
  "cell": [[4.2986, 0.0000, 0.0000], [0.0000, 4.2986, 0.0000], [0.0000, 0.0000, 10.5318]],
  "species": ["Li", "Li", "Li", "Ge", "Ge", "Ge", "Ge", "La", "La", "Zn"],
  "frac_coords": [[0.0000, 0.0000, 0.5000], [0.0000, 0.5000, 0.1276], [0.5000, 0.0000, 0.8724], [0.5000, 0.5000, 0.0000], [0.0000, 0.0000, 0.0000], [0.5000, 0.0000, 0.6375], [0.0000, 0.5000, 0.3625], [0.0000, 0.5000, 0.7512], [0.5000, 0.0000, 0.2488], [0.5000, 0.5000, 0.5000]],
  "space_group": "P-4m2 (115)",
  "magnetic_moment_mub_per_cell": 0.000,
  "n_ef_per_ev_fu": 2.64,
  "ef_mev_per_atom": -593
}